No. 1
Compound: Cs3TlRu
Source: Alexandria
Functional: SCAN
Structure: single point on PBEsol structure

Results
* M_tot: 1.5 μB per formula unit
* Fermi-level density of states: 5.82 states/eV/f.u.
* electronic total energy: -43.21 eV/atom
* symmetry: No. 221
* energy of formation: 0.91 eV/atom

Geometry as POSCAR:
```
Cs3TlRu
1.0
5.803 0.000 0.000
0.000 5.803 0.000
0.000 0.000 5.803
Cs Ru Tl
3 1 1
Cartesian
0.000 2.902 0.000
0.000 0.000 2.902
2.902 0.000 0.000
0.000 0.000 0.000
2.902 2.902 2.902
```

---

No. 2
Compound: NaZrIn2W
Source: Alexandria
Functional: SCAN
Structure: single point on PBEsol structure

Results
* M_tot: 0.0 μB per formula unit
* Fermi-level density of states: 3.97 states/eV/f.u.
* electronic total energy: -33.82 eV/atom
* symmetry: No. 123
* energy of formation: 0.46 eV/atom

Geometry as POSCAR:
```
NaZrIn2W
1.0
4.889 0.000 0.000
0.000 5.354 0.000
0.000 0.000 5.354
Na Zr W In
1 1 1 2
Cartesian
2.445 2.677 2.677
2.445 0.000 0.000
0.000 0.000 0.000
0.000 0.000 2.677
0.000 2.677 0.000
```

---

No. 3
Compound: Co2MoPd2
Source: Alexandria
Functional: SCAN
Structure: single point on PBEsol structure

Results
* M_tot: 3.5 μB per formula unit
* Fermi-level density of states: 3.43 states/eV/f.u.
* electronic total energy: -26.52 eV/atom
* symmetry: No. 139
* energy of formation: 0.48 eV/atom

Geometry as POSCAR:
```
Co2MoPd2
1.0
-0.360 1.970 -2.244
-1.854 -1.919 -1.388
-4.913 3.104 5.530
Mo Co Pd
1 2 2
Cartesian
0.000 0.000 0.000
-3.937 0.605 1.163
-3.190 2.550 0.735
-4.690 2.438 2.893
-2.437 0.717 -0.995
```

---

No. 4
Compound: Fe2NiOs2
Source: Alexandria
Functional: SCAN
Structure: single point on PBEsol structure

Results
* M_tot: 2.9 μB per formula unit
* Fermi-level density of states: 4.26 states/eV/f.u.
* electronic total energy: -38.58 eV/atom
* symmetry: No. 139
* energy of formation: 0.65 eV/atom

Geometry as POSCAR:
```
Fe2NiOs2
1.0
-2.605 -0.433 -1.593
1.212 -2.522 -1.296
-1.688 -2.183 6.338
Ni Os Fe
1 2 2
Cartesian
0.000 0.000 0.000
-1.908 -2.929 3.915
-1.173 -2.210 -0.466
-0.586 -3.091 1.798
-2.494 -2.047 1.650
```

---

No. 5
Compound: Ag5Se
Source: Alexandria
Functional: SCAN
Structure: single point on PBEsol structure

Results
* M_tot: 0.0 μB per formula unit
* Fermi-level density of states: 1.55 states/eV/f.u.
* electronic total energy: -29.42 eV/atom
* symmetry: No. 8

Geometry as POSCAR:
```
Ag5Se
1.0
2.896 0.000 0.000
-1.448 5.365 0.026
0.000 -1.793 6.642
Se Ag
1 5
Cartesian
1.448 0.705 6.321
1.448 3.572 6.664
1.448 1.175 2.235
0.000 2.381 4.403
0.000 3.705 1.898
0.000 -0.528 4.024
```

---

No. 6
Compound: NaAuNF2
Source: Alexandria
Functional: SCAN
Structure: single point on PBEsol structure

Results
* M_tot: 3.0 μB per formula unit
* electronic total energy: -17.91 eV/atom
* symmetry: No. 123

Geometry as POSCAR:
```
NaAuNF2
1.0
-0.695 3.866 -0.825
-3.801 -0.883 -0.936
-1.173 0.670 4.130
Na N Au F
1 1 1 2
Cartesian
0.000 0.000 0.000
-0.587 0.335 2.065
-2.835 1.827 1.185
-1.901 -0.441 -0.468
-0.347 1.933 -0.412
```

---

No. 7
Compound: Sc2TcH
Source: Alexandria
Functional: SCAN
Structure: single point on PBEsol structure

Results
* M_tot: 0.0 μB per formula unit
* Fermi-level density of states: 3.34 states/eV/f.u.
* electronic total energy: -16.79 eV/atom
* symmetry: No. 122

Geometry as POSCAR:
```
Sc2TcH
1.0
-0.130 2.678 4.645
-2.910 -4.499 0.225
4.969 -1.606 -1.224
Sc H Tc
4 2 2
Cartesian
-1.070 -0.181 4.221
2.485 -1.720 -0.325
1.116 -0.860 2.237
1.327 -4.094 1.159
1.029 -3.053 -0.499
2.934 -0.990 1.461
0.000 0.000 0.000
-1.005 -2.437 2.185
```

---

No. 8
Compound: LiPb3
Source: Alexandria
Functional: SCAN
Structure: single point on PBEsol structure

Results
* M_tot: 0.0 μB per formula unit
* Fermi-level density of states: 1.62 states/eV/f.u.
* electronic total energy: -57.54 eV/atom
* symmetry: No. 166
* energy of formation: -0.10 eV/atom

Geometry as POSCAR:
```
LiPb3
1.0
-1.643 1.618 2.484
4.085 -3.338 3.334
2.276 4.853 -3.197
Pb Li
3 1
Cartesian
3.181 0.757 0.068
0.317 3.235 -0.356
1.221 -0.860 2.909
0.000 0.000 0.000
```

---

No. 9
Compound: Al2IrAu
Source: Alexandria
Functional: SCAN
Structure: single point on PBEsol structure

Results
* M_tot: 0.0 μB per formula unit
* Fermi-level density of states: 1.21 states/eV/f.u.
* electronic total energy: -39.76 eV/atom
* symmetry: No. 123
* energy of formation: -0.82 eV/atom

Geometry as POSCAR:
```
Al2IrAu
1.0
-0.544 -2.884 0.191
0.150 -0.222 -2.929
6.643 -1.224 0.434
Ir Au Al
1 1 2
Cartesian
-0.197 -1.553 -1.369
3.125 -2.165 -1.152
1.531 -0.282 0.100
5.112 -0.942 0.334
```

---

No. 10
Compound: AlSbBr2
Source: Alexandria
Functional: SCAN
Structure: single point on PBEsol structure

Results
* M_tot: 0.0 μB per formula unit
* Fermi-level density of states: 1.64 states/eV/f.u.
* electronic total energy: -20.94 eV/atom
* symmetry: No. 47

Geometry as POSCAR:
```
AlSbBr2
1.0
-0.723 1.067 -3.236
3.543 -2.617 -1.655
-3.674 -4.545 -0.678
Sb Al Br
1 1 2
Cartesian
1.410 -0.775 -2.445
-0.065 -3.581 -1.166
0.000 0.000 0.000
-2.199 -1.739 -1.957
```

---

No. 11
Compound: Ta2Be2Ir
Source: Alexandria
Functional: SCAN
Structure: single point on PBEsol structure

Results
* M_tot: 0.0 μB per formula unit
* Fermi-level density of states: 2.21 states/eV/f.u.
* electronic total energy: -43.18 eV/atom
* symmetry: No. 127
* energy of formation: -0.59 eV/atom

Geometry as POSCAR:
```
Ta2Be2Ir
1.0
3.481 0.000 0.000
0.000 6.057 0.000
0.000 0.000 6.057
Be Ir Ta
4 2 4
Cartesian
0.000 2.277 5.305
0.000 5.305 3.780
0.000 3.780 0.752
0.000 0.752 2.277
0.000 0.000 0.000
0.000 3.028 3.028
1.740 1.047 4.076
1.740 4.076 5.009
1.740 5.009 1.981
1.740 1.981 1.047
```

---

No. 12
Compound: IrOs2Pb
Source: Alexandria
Functional: SCAN
Structure: single point on PBEsol structure

Results
* M_tot: 0.0 μB per formula unit
* Fermi-level density of states: 3.68 states/eV/f.u.
* electronic total energy: -71.89 eV/atom
* symmetry: No. 12
* energy of formation: 0.77 eV/atom

Geometry as POSCAR:
```
IrOs2Pb
1.0
2.868 0.000 0.000
-1.434 4.516 -0.018
0.000 -0.935 5.012
Ir Os Pb
1 2 1
Cartesian
1.434 0.000 0.000
1.434 1.585 3.942
0.000 1.996 1.052
0.000 -0.468 2.506
```

---

No. 13
Compound: Na3B2PO5F4
Source: Alexandria
Functional: SCAN
Structure: single point on PBEsol structure

Results
* M_tot: 0.1 μB per formula unit
* Fermi-level density of states: 0.00 states/eV/f.u.
* electronic total energy: -8.33 eV/atom
* symmetry: No. 40

Geometry as POSCAR:
```
Na3B2PO5F4
1.0
-3.975 1.623 5.231
1.422 -6.756 -1.200
7.224 0.577 5.311
Na F B O P
6 8 4 10 2
Cartesian
-2.339 -2.885 3.495
1.273 -2.597 6.151
-0.222 -2.334 0.556
3.390 -2.046 3.211
-2.007 0.607 2.664
1.605 0.896 5.320
7.020 -5.726 4.437
-0.887 -5.172 3.606
5.154 -5.875 3.065
0.979 -5.023 4.978
5.343 -3.241 6.441
1.120 -4.188 0.776
3.484 -3.389 5.074
2.979 -4.039 2.142
6.579 -6.049 3.108
-0.455 -4.940 4.956
4.056 -3.878 6.304
2.277 -4.915 1.238
3.225 -3.553 7.399
-0.870 -3.645 5.379
1.583 -0.925 1.748
5.429 -0.732 4.095
2.890 1.446 7.311
0.355 0.718 3.239
-0.678 -1.497 2.692
3.534 -0.436 8.834
1.407 -1.330 4.224
1.449 -0.602 7.301
0.635 -0.839 3.027
2.346 0.226 8.185
```

---

No. 14
Compound: GeMoSCl2
Source: Alexandria
Functional: SCAN
Structure: single point on PBEsol structure

Results
* M_tot: 2.6 μB per formula unit
* Fermi-level density of states: 3.22 states/eV/f.u.
* electronic total energy: -15.87 eV/atom
* symmetry: No. 123

Geometry as POSCAR:
```
GeMoSCl2
1.0
-2.125 -2.097 3.520
1.129 -4.244 -1.847
4.076 0.011 2.467
S Mo Ge Cl
1 1 1 2
Cartesian
-1.063 -1.049 1.760
0.000 0.000 0.000
1.540 -3.165 2.070
2.038 0.005 1.233
0.565 -2.122 -0.923
```

---

No. 15
Compound: YZn20Ru2
Source: Alexandria
Functional: SCAN
Structure: single point on PBEsol structure

Results
* M_tot: 0.0 μB per formula unit
* Fermi-level density of states: 7.56 states/eV/f.u.
* electronic total energy: -16.21 eV/atom
* symmetry: No. 227
* energy of formation: -0.22 eV/atom

Geometry as POSCAR:
```
YZn20Ru2
1.0
9.884 0.000 0.000
4.942 8.560 0.000
4.942 2.853 8.070
Y Zn Ru
2 40 4
Cartesian
0.000 0.000 0.000
4.942 2.853 2.018
6.268 5.117 6.457
9.884 3.030 0.553
12.202 4.368 1.464
8.557 6.472 7.415
7.566 2.870 6.457
8.557 9.149 3.630
2.471 1.427 1.009
14.826 6.999 4.949
4.942 2.853 5.044
13.499 5.117 6.457
9.884 4.175 7.415
16.177 7.779 7.156
9.884 1.532 2.672
7.566 4.368 1.464
13.474 7.779 7.156
9.884 4.145 2.931
12.202 7.045 0.553
11.181 9.132 6.457
13.499 7.794 2.672
13.474 9.340 4.949
12.202 2.870 6.457
7.566 7.045 0.553
13.528 5.134 3.630
11.236 6.487 2.931
4.942 5.706 1.009
16.177 9.340 4.949
9.884 7.267 5.139
12.202 2.837 3.630
11.210 6.472 7.415
8.532 4.926 5.139
7.413 1.427 1.009
9.884 8.383 1.464
11.210 9.149 3.630
14.826 10.121 7.156
11.236 4.926 5.139
8.586 9.132 6.457
8.532 6.487 2.931
7.566 2.837 3.630
6.268 7.794 2.672
6.239 5.134 3.630
9.884 5.706 1.009
9.884 2.853 5.044
7.413 7.133 5.044
12.355 7.133 5.044
```

---

No. 16
Compound: SrAgBr3
Source: Alexandria
Functional: SCAN
Structure: single point on PBEsol structure

Results
* M_tot: 0.0 μB per formula unit
* electronic total energy: -23.64 eV/atom
* symmetry: No. 221

Geometry as POSCAR:
```
SrAgBr3
1.0
5.323 0.000 0.000
0.000 5.323 0.000
0.000 0.000 5.323
Sr Br Ag
1 3 1
Cartesian
2.661 2.661 2.661
0.000 2.661 0.000
0.000 0.000 2.661
2.661 0.000 0.000
0.000 0.000 0.000
```

---

No. 17
Compound: TlAu2
Source: Alexandria
Functional: SCAN
Structure: single point on PBEsol structure

Results
* M_tot: 0.0 μB per formula unit
* Fermi-level density of states: 1.47 states/eV/f.u.
* electronic total energy: -70.21 eV/atom
* symmetry: No. 140
* energy of formation: 0.01 eV/atom

Geometry as POSCAR:
```
TlAu2
1.0
-3.353 -0.707 4.212
-2.038 -1.232 -5.329
-0.576 -5.231 -1.337
Tl Au
2 4
Cartesian
-3.678 -2.454 0.160
-2.290 -4.716 -2.614
-2.744 -4.785 1.750
-1.186 -1.153 1.125
-0.983 -3.665 -0.160
-2.947 -2.273 3.036
```

---

No. 18
Compound: LiFe3As
Source: Alexandria
Functional: SCAN
Structure: single point on PBEsol structure

Results
* M_tot: 8.4 μB per formula unit
* Fermi-level density of states: 3.84 states/eV/f.u.
* electronic total energy: -14.49 eV/atom
* symmetry: No. 221
* energy of formation: 0.90 eV/atom

Geometry as POSCAR:
```
LiFe3As
1.0
3.966 0.000 0.000
0.000 3.966 0.000
0.000 0.000 3.966
As Fe Li
1 3 1
Cartesian
1.983 1.983 1.983
0.000 1.983 0.000
0.000 0.000 1.983
1.983 0.000 0.000
0.000 0.000 0.000
```

---

No. 19
Compound: AlAgP2
Source: Alexandria
Functional: SCAN
Structure: single point on PBEsol structure

Results
* M_tot: 0.0 μB per formula unit
* Fermi-level density of states: 1.66 states/eV/f.u.
* electronic total energy: -14.90 eV/atom
* symmetry: No. 156
* energy of formation: 0.08 eV/atom

Geometry as POSCAR:
```
AlAgP2
1.0
3.304 0.000 0.000
-1.652 2.862 0.000
0.000 0.000 7.289
P Al Ag
2 1 1
Cartesian
0.000 1.908 5.731
1.652 0.954 1.604
0.000 0.000 7.238
0.000 1.908 3.322
```

---

No. 20
Compound: ZnIrRh2I
Source: Alexandria
Functional: SCAN
Structure: single point on PBEsol structure

Results
* M_tot: 2.9 μB per formula unit
* Fermi-level density of states: 4.15 states/eV/f.u.
* electronic total energy: -36.00 eV/atom
* symmetry: No. 123

Geometry as POSCAR:
```
ZnIrRh2I
1.0
-3.197 -0.892 2.975
2.969 -2.130 2.552
0.993 4.154 2.312
I Zn Ir Rh
1 1 1 2
Cartesian
0.496 2.077 1.156
0.000 0.000 0.000
0.383 0.566 3.919
1.485 -1.065 1.276
-1.598 -0.446 1.488
```